# LiY2OsO6 (PBE, optimized geometry)
# uncorrected formation energy: -2.40 eV per atom
# volume: 384.4 Å³ per cell
# total magnetization: 3.00 μB per formula unit
# energy: -7.98 eV per atom
data_LiY2OsO6
_chemical_formula_sum 'Li3 Y6 Os3 O18'
_cell_length_a 5.5251
_cell_length_b 5.5251
_cell_length_c 14.5392
_cell_angle_alpha 90.00
_cell_angle_beta 90.00
_cell_angle_gamma 120.00
_symmetry_space_group_name_H-M 'R 3'
_symmetry_Int_Tables_number 146
_symmetry_space_group_name_Hall 'R 3'
loop_
_atom_site_label
_atom_site_type_symbol
_atom_site_fract_x
_atom_site_fract_y
_atom_site_fract_z
Li1 Li 0.0000 0.0000 0.0000
Y1 Y 0.0000 0.0000 0.2655
Y2 Y 0.0000 0.0000 0.7711
Os1 Os 0.0000 0.0000 0.4744
O1 O 0.0075 0.3877 0.2123
O2 O 0.0660 0.6975 0.0538

---

# LiZn2OsO6 (PBE, optimized geometry)
# uncorrected formation energy: -1.23 eV per atom
# volume: 219.5 Å³ per cell
# total magnetization: 0.83 μB per formula unit
# energy: -5.77 eV per atom
data_LiZn2OsO6
_chemical_formula_sum 'Li2 Zn4 Os2 O12'
_cell_length_a 5.329
_cell_length_b 5.142
_cell_length_c 9.436
_cell_angle_alpha 90.00
_cell_angle_beta 121.90
_cell_angle_gamma 90.00
_symmetry_space_group_name_H-M 'P 1 21/c 1'
_symmetry_Int_Tables_number 14
_symmetry_space_group_name_Hall '-P 2ybc'
loop_
_atom_site_label
_atom_site_type_symbol
_atom_site_fract_x
_atom_site_fract_y
_atom_site_fract_z
Li1 Li 0.000 0.000 0.000
Zn1 Zn 0.200 0.017 0.726
Os1 Os 0.500 0.000 0.500
O1 O 0.169 0.116 0.282
O2 O 0.224 0.661 0.044
O3 O 0.467 0.194 0.094

---

# Li2ZnOsO6 (PBE, optimized geometry)
# uncorrected formation energy: -1.31 eV per atom
# volume: 210.6 Å³ per cell
# total magnetization: 0.00 μB per formula unit
# energy: -5.91 eV per atom
data_Li2ZnOsO6
_chemical_formula_sum 'Li4 Zn2 Os2 O12'
_cell_length_a 9.157
_cell_length_b 5.451
_cell_length_c 5.051
_cell_angle_alpha 90.00
_cell_angle_beta 123.32
_cell_angle_gamma 90.00
_symmetry_space_group_name_H-M 'C 1 2/m 1'
_symmetry_Int_Tables_number 12
_symmetry_space_group_name_Hall '-C 2y'
loop_
_atom_site_label
_atom_site_type_symbol
_atom_site_fract_x
_atom_site_fract_y
_atom_site_fract_z
Li1 Li 0.250 0.000 0.194
Zn1 Zn 0.000 0.500 0.000
Os1 Os 0.000 0.000 0.500
O1 O 0.078 0.243 0.814
O2 O 0.220 0.000 0.559